(1)
Ba2TcW: relaxed, GGA-PBE.

Summary:
For the formation energy, the calculation gives 1.55 eV/atom. The polymorph energy (0 for the lowest one) comes out at 1043 meV/atom. The density of states at the Fermi level comes out at 7.946 states/eV/f.u. The space group is F-43m (216).

a b c (Å): 5.2353 5.2353 5.2353
angles (deg): 60.00 60.00 60.00
Atoms (fractional coordinates):
Ba: 0.0000 0.0000 0.0000
Ba: 0.2500 0.2500 0.2500
Tc: 0.5000 0.5000 0.5000
W: 0.7500 0.7500 0.7500

---

(2)
CdNi2I: relaxed, GGA-PBE.

Summary:
The polymorph energy (0 for the lowest one) comes out at 0 meV/atom. The density of states at the Fermi level comes out at 3.967 states/eV/f.u. The space group is I-42d (122).

a b c (Å): 4.6972 4.6972 8.4319
angles (deg): 73.83 73.83 90.00
Atoms (fractional coordinates):
I: 0.0000 0.0000 0.0000
I: 0.7500 0.2500 0.5000
Ni: 0.6841 0.1250 0.2500
Ni: 0.0659 0.6250 0.2500
Ni: 0.3750 0.3159 0.7500
Ni: 0.8750 0.9341 0.7500
Cd: 0.5000 0.5000 0.0000
Cd: 0.2500 0.7500 0.5000

---

(3)
Tc4SbIr: relaxed, GGA-PBE.

Summary:
The total DFT energy (no corrections) is -8.528 eV per atom. The density of states at the Fermi level comes out at 7.558 states/eV/f.u. The space group is F-43m (216).

a b c (Å): 5.1647 5.1647 5.1647
angles (deg): 60.00 60.00 60.00
Atoms (fractional coordinates):
Tc: 0.8694 0.3769 0.3769
Tc: 0.3769 0.3769 0.8694
Tc: 0.3769 0.8694 0.3769
Tc: 0.3769 0.3769 0.3769
Sb: 0.0000 0.0000 0.0000
Ir: 0.7500 0.7500 0.7500

---

(4)
ScNb5C4: relaxed, GGA-PBE.

Summary:
For the formation energy, the calculation gives -0.48 eV/atom. The density of states at the Fermi level comes out at 4.227 states/eV/f.u. The space group is C2/m (12).

a b c (Å): 3.1734 6.4292 7.0358
angles (deg): 104.66 103.03 90.00
Atoms (fractional coordinates):
Sc: 0.5000 0.0000 0.0000
Nb: 0.8312 0.6768 0.6625
Nb: 0.8377 0.1519 0.6755
Nb: 0.1623 0.8481 0.3245
Nb: 0.5000 0.5000 0.0000
Nb: 0.1688 0.3232 0.3375
C: 0.3298 0.9100 0.6596
C: 0.9939 0.7380 0.9878
C: 0.6702 0.0900 0.3404
C: 0.0061 0.2620 0.0122

---

(5)
Li2ZrTiO4: relaxed, GGA-PBE.

Summary:
The total DFT energy (no corrections) is -7.610 eV per atom. The density of states at the Fermi level comes out at 3.079 states/eV/f.u. The space group is I-4m2 (119).

a b c (Å): 4.2449 4.2449 5.3016
angles (deg): 113.60 113.60 90.00
Atoms (fractional coordinates):
Li: 0.2500 0.7500 0.5000
Li: 0.0000 0.0000 0.0000
Zr: 0.5000 0.5000 0.0000
Ti: 0.7500 0.2500 0.5000
O: 0.9993 0.4993 0.9987
O: 0.5007 0.0007 0.0013
O: 0.7543 0.7543 0.5087
O: 0.2457 0.2457 0.4913

---

(6)
InSiNi2: relaxed, GGA-PBE.

Summary:
The total DFT energy (no corrections) is -5.041 eV per atom. The density of states at the Fermi level comes out at 2.121 states/eV/f.u. The space group is P4mm (99).

a b c (Å): 3.1973 3.1973 5.5962
angles (deg): 90.00 90.00 90.00
Atoms (fractional coordinates):
In: 0.5000 0.5000 0.7753
Ni: 0.0000 0.0000 0.0186
Ni: 0.5000 0.5000 0.2844
Si: 0.0000 0.0000 0.4218

---

(7)
Ba2CeP2I2: relaxed, GGA-PBE.

Summary:
The total DFT energy (no corrections) is -4.786 eV per atom. The density of states at the Fermi level comes out at 0.173 states/eV/f.u. The space group is I4/mmm (139).

a b c (Å): 5.4376 5.4376 9.6930
angles (deg): 106.29 106.29 90.00
Atoms (fractional coordinates):
Ba: 0.3885 0.3885 0.7769
Ba: 0.6115 0.6115 0.2231
Ce: 0.0000 0.0000 0.0000
P: 0.0000 0.5000 0.0000
P: 0.5000 0.0000 0.0000
I: 0.1831 0.1831 0.3663
I: 0.8169 0.8169 0.6337

---

(8)
AlRhCl2: relaxed, GGA-PBE.

Summary:
The polymorph energy (0 for the lowest one) comes out at 0 meV/atom. The density of states at the Fermi level comes out at 4.492 states/eV/f.u. The space group is R3m (160).

a b c (Å): 8.8643 8.8643 8.8643
angles (deg): 21.03 21.03 21.03
Atoms (fractional coordinates):
Rh: 0.4898 0.4898 0.4898
Al: 0.7581 0.7581 0.7581
Cl: 0.0284 0.0284 0.0284
Cl: 0.2237 0.2237 0.2237

---

What did the eighth record say?
AlRhCl2: relaxed, GGA-PBE.

Summary:
The polymorph energy (0 for the lowest one) comes out at 0 meV/atom. The density of states at the Fermi level comes out at 4.492 states/eV/f.u. The space group is R3m (160).

a b c (Å): 8.8643 8.8643 8.8643
angles (deg): 21.03 21.03 21.03
Atoms (fractional coordinates):
Rh: 0.4898 0.4898 0.4898
Al: 0.7581 0.7581 0.7581
Cl: 0.0284 0.0284 0.0284
Cl: 0.2237 0.2237 0.2237